{"formula": "Tb3Pd4", "functional": "PBE", "state": "optimized geometry", "mass_density_g_cm3": 10.27, "volume_a3_per_atom": 20.9, "space_group": "R-3 (148)", "final_energy_ev_per_atom": -5.870, "m_tot_mub_per_fu": 0.000, "formation_energy_ev_per_atom": -0.93, "cell": [[6.627, 3.826, 1.919], [-6.627, 3.826, 1.919], [0.000, -7.652, 1.919]], "species": ["Tb", "Tb", "Tb", "Tb", "Tb", "Tb", "Pd", "Pd", "Pd", "Pd", "Pd", "Pd", "Pd", "Pd"], "frac_coords": [[0.025, 0.276, 0.405], [0.276, 0.405, 0.025], [0.405, 0.025, 0.276], [0.595, 0.975, 0.724], [0.724, 0.595, 0.975], [0.975, 0.724, 0.595], [0.000, 0.000, 0.000], [0.064, 0.551, 0.228], [0.228, 0.064, 0.551], [0.449, 0.772, 0.936], [0.500, 0.500, 0.500], [0.551, 0.228, 0.064], [0.772, 0.936, 0.449], [0.936, 0.449, 0.772]]}